Entry 1:
LiGaSn PBE optimized geometry; SG = Pmmn (59); raw total energy = -3.14 eV/atom
1.0
3.4930 0.0000 0.0000
0.0000 4.3353 0.0000
0.0000 0.0000 7.9827
Li Ga Sn
2 2 2
Cartesian
0.8732 1.0838 1.9922
2.6197 3.2515 5.9904
0.8732 3.2515 0.2716
2.6197 1.0838 7.7111
0.8732 1.0838 4.9623
2.6197 3.2515 3.0204


Entry 2:
Ac4SnSe3 PBE optimized geometry; E_form (uncorrected) = -1.59 eV per atom; E above lowest polymorph = 18 meV/atom; SG = Cmmm (65)
1.0
4.5390 -6.4717 0.0000
4.5390 6.4717 0.0000
0.0000 0.0000 4.6153
Ac Sn Se
4 1 3
Cartesian
2.2253 0.0000 2.3076
4.5390 3.2566 0.0000
4.5390 -3.2566 0.0000
6.8526 0.0000 2.3076
4.5390 0.0000 0.0000
0.0000 0.0000 0.0000
2.2695 3.2358 2.3076
2.2695 -3.2358 2.3076


Entry 3:
Na2MnVGe PBE optimized geometry; SG = P4/mmm (123); raw total energy = -3.84 eV/atom
1.0
5.0352 0.0000 0.0000
0.0000 5.0352 0.0000
0.0000 0.0000 4.7073
Na Mn V Ge
2 1 1 1
Cartesian
0.0000 2.5176 0.0000
2.5176 0.0000 0.0000
0.0000 0.0000 0.0000
2.5176 2.5176 2.3537
0.0000 0.0000 2.3537


Entry 4:
K2LiPdF6 PBE optimized geometry; E_form (uncorrected) = -2.28 eV per atom; SG = I4/mmm (139)
1.0
-2.8983 2.8983 4.2232
2.8983 -2.8983 4.2232
2.8983 2.8983 -4.2232
K Li Pd F
2 1 1 6
Cartesian
2.8983 0.0000 2.1116
0.0000 2.8983 2.1116
0.0000 0.0000 0.0000
0.0000 0.0000 4.2232
0.0000 0.0000 2.0135
1.4876 1.4876 0.0000
1.4107 -1.4107 4.2232
-1.4107 1.4107 4.2232
1.4107 1.4107 4.2232
0.0000 0.0000 6.4329


Entry 5:
Tb4Pm5Pr2 PBE optimized geometry; E above lowest polymorph = 0 meV/atom; SG = C2/m (12)
1.0
5.6229 -3.7134 0.0000
5.6229 3.7134 0.0000
-2.8160 0.0000 8.9669
Tb Pm Pr
4 5 2
Cartesian
1.5433 0.0000 1.0595
0.7968 0.0000 4.4469
7.6332 0.0000 4.5200
6.8866 0.0000 7.9074
4.2131 2.0985 2.1141
4.2168 2.0985 6.8528
4.2150 0.0000 4.4834
4.2131 -2.0985 2.1141
4.2168 -2.0985 6.8528
1.5345 0.0000 7.8500
6.8954 0.0000 1.1169


Entry 6:
SiTc2Hg PBE optimized geometry; E_form (uncorrected) = 0.31 eV per atom; E above lowest polymorph = 267 meV/atom; SG = Pm (6)
1.0
2.9575 0.0000 0.0000
0.0000 4.2667 0.0000
-1.4749 0.0000 5.1271
Si Tc Hg
1 2 1
Cartesian
0.0000 0.0000 0.0000
-0.0092 2.1334 1.0522
1.4710 0.0000 2.1123
-0.0060 2.1334 3.7224